[1]
Material: Dy3MgGa
Method: DFT, PBE-GGA
State: optimized geometry

For the total energy, the calculation gives -3.9395 eV per atom. The calculation puts the formation energy from the elements at -123 kJ/mol of formula units.

The structure belongs to space group Cmcm (No. 63); the cell edges are 4.5251, 17.7694 and 6.6955 Å and the angles 90.00°, 90.00° and 90.00°. The asymmetric unit holds Dy at (0.0000, 0.1028, 0.0055), Dy at (0.0000, 0.2795, 0.2500), Mg at (0.0000, 0.4942, 0.2500) and Ga at (0.0000, 0.3261, 0.7500).

[2]
Material: DyMgGa
Method: DFT, PBE-GGA
State: optimized geometry

For the total energy, the calculation gives -3.5713 eV per atom. The calculation puts the formation energy from the elements at -144 kJ/mol of formula units.

The structure belongs to space group P-62m (No. 189); the cell edges are 7.2892, 7.2892 and 4.4572 Å and the angles 90.00°, 90.00° and 120.00°. The asymmetric unit holds Dy at (0.0000, 0.5739, 0.0000), Mg at (0.0000, 0.2436, 0.5000), Ga at (0.0000, 0.0000, 0.0000) and Ga at (0.3333, 0.6667, 0.5000).

[3]
Material: Dy3Mg2Ga
Method: DFT, PBE-GGA
State: optimized geometry

For the total energy, the calculation gives -3.5837 eV per atom. The calculation puts the formation energy from the elements at -143 kJ/mol of formula units.

The structure belongs to space group P4/mmm (No. 123); the cell edges are 3.6804, 3.6804 and 11.3511 Å and the angles 90.00°, 90.00° and 90.00°. The asymmetric unit holds Dy at (0.0000, 0.0000, 0.0000), Dy at (0.0000, 0.0000, 0.3492), Mg at (0.5000, 0.5000, 0.1711) and Ga at (0.5000, 0.5000, 0.5000).

[4]
Material: Dy4MgGa2
Method: DFT, PBE-GGA
State: optimized geometry

For the total energy, the calculation gives -3.9499 eV per atom. The calculation puts the formation energy from the elements at -154 kJ/mol of formula units.

The structure belongs to space group P2_1/m (No. 11); the cell edges are 7.7622, 6.5188 and 8.0550 Å and the angles 90.00°, 111.86° and 90.00°. The asymmetric unit holds Dy at (0.0164, 0.2500, 0.3768), Dy at (0.2038, 0.7500, 0.3318), Dy at (0.3988, 0.0067, 0.7469), Mg at (0.1854, 0.2500, 0.0361), Ga at (0.2579, 0.7500, 0.9930) and Ga at (0.3932, 0.2500, 0.4178).

[5]
Material: Dy2MgGa
Method: DFT, PBE-GGA
State: optimized geometry

For the total energy, the calculation gives -3.7994 eV per atom. The calculation puts the formation energy from the elements at -132 kJ/mol of formula units.

The structure belongs to space group P4/mmm (No. 123); the cell edges are 3.6538, 3.6538 and 7.4545 Å and the angles 90.00°, 90.00° and 90.00°. The asymmetric unit holds Dy at (0.0000, 0.0000, 0.2318), Mg at (0.5000, 0.5000, 0.5000) and Ga at (0.5000, 0.5000, 0.0000).

[6]
Material: DyMg2Ga2
Method: DFT, PBE-GGA
State: optimized geometry

For the total energy, the calculation gives -3.1281 eV per atom. The calculation puts the formation energy from the elements at -173 kJ/mol of formula units.

The structure belongs to space group Imma (No. 74); the cell edges are 4.2109, 4.2881 and 23.8513 Å and the angles 90.00°, 90.00° and 90.00°. The asymmetric unit holds Dy at (0.0000, 0.2500, 0.0759), Mg at (0.0000, 0.2500, 0.3005), Mg at (0.0000, 0.2500, 0.8005), Ga at (0.0000, 0.2500, 0.5251) and Ga at (0.0000, 0.2500, 0.6270).

[7]
Material: DyMg2Ga5
Method: DFT, PBE-GGA
State: optimized geometry

For the total energy, the calculation gives -3.1723 eV per atom. The calculation puts the formation energy from the elements at -237 kJ/mol of formula units.

The structure belongs to space group C2/m (No. 12); the cell edges are 6.0647, 6.1765 and 8.8354 Å and the angles 90.00°, 109.98° and 90.00°. The asymmetric unit holds Dy at (0.0000, 0.0000, 0.0000), Mg at (0.2447, 0.0000, 0.4902), Ga at (0.0000, 0.5000, 0.0000) and Ga at (0.1198, 0.2517, 0.7412).

[8]
Material: Dy2MgGa
Method: DFT, PBE-GGA
State: optimized geometry

For the total energy, the calculation gives -3.3005 eV per atom. The calculation puts the formation energy from the elements at 60 kJ/mol of formula units.

The structure belongs to space group R-3m (No. 166, hexagonal axes); the cell edges are 3.3934, 3.3934 and 34.0537 Å and the angles 90.00°, 90.00° and 120.00°. The asymmetric unit holds Dy at (0.0000, 0.0000, 0.0883), Mg at (0.0000, 0.0000, 0.5000) and Ga at (0.0000, 0.0000, 0.0000).

[9]
Material: DyMgGa4
Method: DFT, PBE-GGA
State: optimized geometry

For the total energy, the calculation gives -3.4412 eV per atom. The calculation puts the formation energy from the elements at -226 kJ/mol of formula units. As for the relative energy among the computed polymorphs: 0.00 kcal/mol of atoms.

The structure belongs to space group Immm (No. 71); the cell edges are 4.3452, 6.6730 and 8.0515 Å and the angles 90.00°, 90.00° and 90.00°. The asymmetric unit holds Dy at (0.0000, 0.0000, 0.0000), Mg at (0.0000, 0.5000, 0.0000) and Ga at (0.0000, 0.2134, 0.3356).

[10]
Material: Dy3Mg4Ga4
Method: DFT, PBE-GGA
State: optimized geometry

For the total energy, the calculation gives -3.3585 eV per atom. The calculation puts the formation energy from the elements at -449 kJ/mol of formula units.

The structure belongs to space group Immm (No. 71); the cell edges are 4.4810, 7.2680 and 14.8437 Å and the angles 90.00°, 90.00° and 90.00°. The asymmetric unit holds Dy at (0.0000, 0.0000, 0.0000), Dy at (0.0000, 0.5000, 0.1170), Mg at (0.0000, 0.3034, 0.3281), Ga at (0.0000, 0.0000, 0.2172) and Ga at (0.0000, 0.1842, 0.5000).

[11]
Material: DyMgGa
Method: DFT, PBE-GGA
State: optimized geometry

For the total energy, the calculation gives -3.4510 eV per atom. The calculation puts the formation energy from the elements at -109 kJ/mol of formula units.

The structure belongs to space group P-6m2 (No. 187); the cell edges are 4.6904, 4.6904 and 3.5908 Å and the angles 90.00°, 90.00° and 120.00°. The asymmetric unit holds Dy at (0.0000, 0.0000, 0.0000), Mg at (0.3333, 0.6667, 0.5000) and Ga at (0.6667, 0.3333, 0.5000).

[12]
Material: Dy2MgGa
Method: DFT, PBE-GGA
State: optimized geometry

For the total energy, the calculation gives -3.7964 eV per atom. The calculation puts the formation energy from the elements at -131 kJ/mol of formula units.

The structure belongs to space group Fm-3m (No. 225); the cell edges are 7.2980, 7.2980 and 7.2980 Å and the angles 90.00°, 90.00° and 90.00°. The asymmetric unit holds Dy at (0.2500, 0.2500, 0.2500), Mg at (0.0000, 0.0000, 0.0000) and Ga at (0.0000, 0.0000, 0.5000).